# 1
# PBE Ag2Pb2Cl7, relaxed
# **Formation energy without anion corrections**: -692 meV per atom
# **Relative energy among the computed polymorphs**: 0.038 eV/atom
# **Electronic total energy**: -3.06 eV/atom
# **Mass density**: 4.71 g/cm³
# **D(E_F)**: 17.64 states/eV/cell
# **Crystal system**: orthorhombic
# **Total magnetic moment**: 0.0 μB per formula unit
data_Ag2Pb2Cl7
_cell_length_a 9.1528
_cell_length_b 9.9026
_cell_length_c 6.8342
_cell_angle_alpha 90.00
_cell_angle_beta 90.00
_cell_angle_gamma 90.00
_space_group_name_H-M_alt 'C m m m'
_space_group_IT_number 65
_space_group_name_Hall '-C 2 2'
loop_
_atom_site_label
_atom_site_fract_x
_atom_site_fract_y
_atom_site_fract_z
_atom_site_occupancy
Ag1 0.0000 0.2456 0.0000 1
Pb1 0.2384 0.0000 0.5000 1
Cl1 0.0000 0.0000 0.2445 1
Cl2 0.0000 0.5000 0.0000 1
Cl3 0.2500 0.2500 0.2484 1

***

# 2
# PBE AgPb5Cl12, relaxed
# **Formation energy without anion corrections**: -991 meV per atom
# **Electronic total energy**: -3.41 eV/atom
# **Mass density**: 4.14 g/cm³
# **D(E_F)**: 2.10 states/eV/cell
# **Crystal system**: monoclinic
# **Total magnetic moment**: 1.1 μB per formula unit
data_AgPb5Cl12
_cell_length_a 7.6084
_cell_length_b 12.9352
_cell_length_c 12.8019
_cell_angle_alpha 90.00
_cell_angle_beta 92.49
_cell_angle_gamma 90.00
_space_group_name_H-M_alt 'C 1 2/m 1'
_space_group_IT_number 12
_space_group_name_Hall '-C 2y'
loop_
_atom_site_label
_atom_site_fract_x
_atom_site_fract_y
_atom_site_fract_z
_atom_site_occupancy
Ag1 0.0000 0.0000 0.0000 1
Pb1 0.0000 0.1662 0.5000 1
Pb2 0.0000 0.3430 0.0000 1
Pb3 0.0000 0.5000 0.5000 1
Cl1 0.1398 0.5000 0.1274 1
Cl2 0.1597 0.3326 0.3814 1
Cl3 0.1606 0.0000 0.3823 1
Cl4 0.1611 0.1396 0.1009 1

***

# 3
# PBE Ag2PbCl, relaxed
# **Formation energy without anion corrections**: -36 meV per atom
# **Relative energy among the computed polymorphs**: 0.130 eV/atom
# **Electronic total energy**: -2.85 eV/atom
# **Mass density**: 7.99 g/cm³
# **D(E_F)**: 6.65 states/eV/cell
# **Crystal system**: tetragonal
# **Total magnetic moment**: 0.0 μB per formula unit
data_Ag2PbCl
_cell_length_a 7.9842
_cell_length_b 7.9842
_cell_length_c 5.9787
_cell_angle_alpha 90.00
_cell_angle_beta 90.00
_cell_angle_gamma 90.00
_space_group_name_H-M_alt 'I -4 2 d'
_space_group_IT_number 122
_space_group_name_Hall 'I -4 2bw'
loop_
_atom_site_label
_atom_site_fract_x
_atom_site_fract_y
_atom_site_fract_z
_atom_site_occupancy
Ag1 0.2371 0.2500 0.1250 1
Pb1 0.0000 0.0000 0.5000 1
Cl1 0.0000 0.0000 0.0000 1

***

# 4
# PBE Ag2PbCl, relaxed
# **Formation energy without anion corrections**: 176 meV per atom
# **Relative energy among the computed polymorphs**: 0.343 eV/atom
# **Electronic total energy**: -2.64 eV/atom
# **Mass density**: 8.12 g/cm³
# **D(E_F)**: 11.87 states/eV/cell
# **Crystal system**: cubic
# **Total magnetic moment**: 0.0 μB per formula unit
data_Ag2PbCl
_cell_length_a 7.2098
_cell_length_b 7.2098
_cell_length_c 7.2098
_cell_angle_alpha 90.00
_cell_angle_beta 90.00
_cell_angle_gamma 90.00
_space_group_name_H-M_alt 'F m -3 m'
_space_group_IT_number 225
_space_group_name_Hall '-F 4 2 3'
loop_
_atom_site_label
_atom_site_fract_x
_atom_site_fract_y
_atom_site_fract_z
_atom_site_occupancy
Ag1 0.2500 0.2500 0.2500 1
Pb1 0.0000 0.0000 0.0000 1
Cl1 0.0000 0.0000 0.5000 1